Entry 1:
Density functional theory data (GGA-PBE) for a geometry-optimized Tb4Rh structure.

Final energy (eV per atom): -5.376
Formation enthalpy at 0 K (meV/atom): -201
Fermi-level density of states (states/eV per cell): 8.37
V (Å³ per atom): 31.98

Cell: 5.4275 5.4275 5.4275 Å, 90.00 90.00 90.00°
Last column: nearest neighbours and their distance in Å.
Space group Pm-3m (No. 221)
Symmetry-distinct sites (fractional):
Tb 0.0000 0.0000 0.0000  12 Tb 3.84
Tb 0.0000 0.5000 0.5000  2 Rh 2.71
Rh 0.5000 0.5000 0.5000  6 Tb 2.71

=====

Entry 2:
Density functional theory data (GGA-PBE) for a geometry-optimized Tb5Rh6 structure.

Final energy (eV per atom): -6.766
Formation enthalpy at 0 K (meV/atom): -651
Fermi-level density of states (states/eV per cell): 9.80
V (Å³ per atom): 20.87

Cell: 14.7690 7.0643 4.6223 Å, 90.00 107.77 90.00°
Last column: nearest neighbours and their distance in Å.
Space group C2/m (No. 12)
Symmetry-distinct sites (fractional):
Tb 0.0000 0.0000 0.0000  8 Rh 2.78-2.91
Tb 0.1364 0.5000 0.6401  6 Rh 2.76-2.99
Tb 0.1788 0.0000 0.6777  8 Rh 2.83-2.95
Rh 0.0000 0.2187 0.5000  6 Tb 2.76-2.95, 1 Rh 3.09
Rh 0.1683 0.2403 0.1687  6 Tb 2.83-2.99

=====

Entry 3:
Density functional theory data (GGA-PBE) for a geometry-optimized Tb4TcRh structure.

Final energy (eV per atom): -6.402
Formation enthalpy at 0 K (meV/atom): -362
Fermi-level density of states (states/eV per cell): 16.38
V (Å³ per atom): 25.60

Cell: 8.9917 12.9762 6.4045 Å, 90.00 124.69 90.00°
Last column: nearest neighbours and their distance in Å.
Space group C2/c (No. 15)
Symmetry-distinct sites (fractional):
Tb 0.1287 0.1756 0.0976  2 Tc 2.92-2.97, 2 Rh 2.94-3.07
Tb 0.1971 0.4367 0.2653  2 Tc 2.85-2.90, 2 Rh 2.87-3.09
Tc 0.0000 0.0007 0.7500  8 Tb 2.85-2.97
Rh 0.0000 0.3653 0.7500  8 Tb 2.87-3.09